A plane-wave DFT calculation with PBE with a Hubbard U was carried out for Li10Mn2V3Cr3O16 after structural relaxation.

a = 10.490 Å, b = 6.036 Å, c = 9.992 Å
α = 90.00°, β = 90.07°, γ = 90.00°
Space group Cm (No. 8)
Unique sites:
1 Li 0.000 0.000 0.000
2 Li 0.001 0.000 0.502
3 Li 0.102 0.298 0.926
4 Li 0.168 0.500 0.712
5 Li 0.201 0.000 0.429
6 Li 0.306 0.500 0.923
7 Li 0.335 0.000 0.212
8 Li 0.404 0.209 0.424
9 Mn 0.169 0.500 0.463
10 Mn 0.336 0.000 0.962
11 V 0.085 0.252 0.201
12 V 0.170 0.000 0.701
13 Cr 0.334 0.500 0.200
14 Cr 0.418 0.248 0.700
15 O 0.008 0.500 0.315
16 O 0.082 0.237 0.587
17 O 0.158 0.000 0.086
18 O 0.173 0.500 0.080
19 O 0.248 0.259 0.315
20 O 0.255 0.240 0.814
21 O 0.340 0.000 0.583
22 O 0.343 0.500 0.587
23 O 0.423 0.262 0.087
24 O 0.495 0.500 0.316
25 O 0.496 0.000 0.816
26 O 0.496 0.500 0.813

Properties
total moment	0.74	μB per atom
E_tot	-448.448	eV/cell
density of states at the Fermi level	0.000	states/eV per atom